Record 1
! Ac4GePbN, optimized geometry, DFT PBE; values from VASP
! Energy relative to the elements, uncorrected ... -16.0 kcal/mol of atoms
! V ... 466 Å³/cell
&SYSTEM
  ibrav = 0, nat = 14, ntyp = 4
/
ATOMIC_SPECIES
Ac 227.00 Ac.upf
Ge 72.64 Ge.upf
Pb 207.20 Pb.upf
N 14.01 N.upf
CELL_PARAMETERS angstrom
3.601 -8.920 0.000
3.601 8.920 0.000
0.000 0.000 7.251
ATOMIC_POSITIONS angstrom
Ac 1.801 4.460 0.000
Ac 1.801 4.460 3.625
Ac 3.601 7.803 5.438
Ac 3.601 1.482 5.438
Ac 1.801 -4.460 0.000
Ac 1.801 -4.460 3.625
Ac 3.601 -1.482 1.813
Ac 3.601 -7.803 1.813
Ge 3.601 6.830 1.813
Ge 3.601 -6.830 5.438
Pb 3.601 1.959 1.813
Pb 3.601 -1.959 5.438
N 3.601 3.973 5.438
N 3.601 -3.973 1.813

Record 2
! Cs4CeO4, optimized geometry, DFT PBE; values from VASP
! Energy relative to the elements, uncorrected ... -43.3 kcal/mol of atoms
! V ... 247 Å³/cell
&SYSTEM
  ibrav = 0, nat = 9, ntyp = 3
/
ATOMIC_SPECIES
Cs 132.91 Cs.upf
Ce 140.12 Ce.upf
O 16.00 O.upf
CELL_PARAMETERS angstrom
7.059 -1.908 0.000
7.059 1.908 0.000
-5.336 0.000 9.155
ATOMIC_POSITIONS angstrom
Cs -0.661 0.000 3.313
Cs 3.022 0.000 1.680
Cs 5.761 0.000 7.475
Cs 9.443 0.000 5.842
Ce 7.059 0.000 0.000
O -3.996 0.000 8.562
O 0.870 0.000 7.127
O 7.913 0.000 2.028
O 12.779 0.000 0.593

Record 3
! Ca8Ag2Pd, optimized geometry, DFT PBE; values from VASP
! ΔE to the lowest computed polymorph ... 0 meV/atom
! V ... 345 Å³/cell
&SYSTEM
  ibrav = 0, nat = 11, ntyp = 3
/
ATOMIC_SPECIES
Ca 40.08 Ca.upf
Ag 107.87 Ag.upf
Pd 106.42 Pd.upf
CELL_PARAMETERS angstrom
9.437 -2.641 0.000
9.437 2.641 0.000
-2.059 0.000 6.932
ATOMIC_POSITIONS angstrom
Ca -0.060 0.000 2.052
Ca 2.240 0.000 5.638
Ca 5.334 0.000 3.703
Ca 7.575 0.000 0.476
Ca 9.240 0.000 6.456
Ca 11.481 0.000 3.229
Ca 14.575 0.000 1.293
Ca 16.875 0.000 4.880
Ag 3.038 0.000 1.499
Ag 13.776 0.000 5.432
Pd 8.407 0.000 3.466

> V of number 3 (Ca8Ag2Pd)?

345 Å³/cell

> Which formula does entry 3 have?

Ca8Ag2Pd